<1>
# RbBi3Sb

A relaxed RbBi3Sb crystal (PBE, Alexandria via LeMat-Bulk).

Cell: 6.0115 6.0115 6.0115 Å, 90.00 90.00 90.00°
With the nearest neighbours (Å) after each atom.
Sites, in units of the cell vectors:
Sb  0.0000  0.0000  0.0000  6 Bi 3.01
Bi  0.0000  0.5000  0.0000  2 Sb 3.01
Bi  0.0000  0.0000  0.5000  2 Sb 3.01
Bi  0.5000  0.0000  0.0000  2 Sb 3.01
Rb  0.5000  0.5000  0.5000  12 Bi 4.25

## Properties
As for the space-group type: Pm-3m, No. 221. The value obtained for the volume is 43.4 Å³ per atom.

<2>
# RbBi3Sb

A relaxed RbBi3Sb crystal (PBE, Alexandria via LeMat-Bulk).

Cell: 5.7787 9.7327 7.5231 Å, 90.00 90.00 93.52°
With the nearest neighbours (Å) after each atom.
Sites, in units of the cell vectors:
Rb  0.4258  0.2623  0.7008  10 Bi 4.03-4.43
Rb  0.9394  0.0861  0.2008  9 Bi 3.92-4.24, 1 Sb 3.98
Bi  0.4407  0.4223  0.2008  1 Sb 2.96, 2 Bi 3.27
Bi  0.4206  0.8824  0.9550  2 Sb 3.06-3.13, 1 Bi 3.18
Bi  0.9535  0.4543  0.4140  3 Bi 3.21-3.37, 2 Sb 3.24-3.29
Bi  0.8571  0.9357  0.7008  1 Sb 2.98, 2 Bi 3.18
Bi  0.9535  0.4543  0.9875  3 Bi 3.21-3.37, 2 Sb 3.24-3.29
Bi  0.4206  0.8823  0.4466  2 Sb 3.06-3.13, 1 Bi 3.18
Sb  0.1432  0.6908  0.7008  5 Bi 2.98-3.29
Sb  0.7017  0.6933  0.2008  5 Bi 2.96-3.24

## Properties
As for the space-group type: Pm, No. 6. The value obtained for the volume is 42.2 Å³ per atom.

The structure shown above that is least stable: <1>.